# 1
Crystalline SmNp4S5 at its relaxed geometry, computed with PBE.

Computed properties:
Total moment (μB/f.u.): 16.90
N(E_F) (states/eV/atom): 2.886
Raw total energy (eV/atom): -9.206
Formation energy (no corrections) (kJ/mol of atoms): -144

a b c (Å): 3.9293 3.9293 14.1566
angles (deg): 97.98 97.98 90.00
Atoms (fractional coordinates):
1 Sm 0.0000 0.0000 0.0000
2 Np 0.3996 0.3996 0.7992
3 Np 0.7992 0.7992 0.5984
4 Np 0.2008 0.2008 0.4016
5 Np 0.6004 0.6004 0.2008
6 S 0.1016 0.1016 0.2032
7 S 0.5000 0.5000 0.0000
8 S 0.8984 0.8984 0.7968
9 S 0.3004 0.3004 0.6008
10 S 0.6996 0.6996 0.3992



# 2
Crystalline Sm4Np3S8 at its relaxed geometry, computed with PBE.

Computed properties:
Total moment (μB/f.u.): 13.32
N(E_F) (states/eV/atom): 1.889
Raw total energy (eV/atom): -7.808
Formation energy (no corrections) (kJ/mol of atoms): -170

a b c (Å): 7.9317 7.9242 7.9242
angles (deg): 90.02 120.00 120.00
Atoms (fractional coordinates):
1 Sm 0.5000 0.0000 0.0000
2 Sm 0.0000 0.5000 0.0000
3 Sm 0.0000 0.0000 0.0000
4 Sm 0.0000 0.0000 0.5000
5 Np 0.5000 0.5000 0.0000
6 Np 0.5000 0.0000 0.5000
7 Np 0.5000 0.5000 0.5000
8 S 0.5030 0.2545 0.2545
9 S 0.0000 0.7482 0.2518
10 S 0.0028 0.2532 0.2532
11 S 0.5000 0.7470 0.2530
12 S 0.5000 0.2530 0.7470
13 S 0.9972 0.7468 0.7468
14 S 0.0000 0.2518 0.7482
15 S 0.4970 0.7455 0.7455



# 3
Crystalline Sm2NpS6 at its relaxed geometry, computed with PBE.

Computed properties:
Total moment (μB/f.u.): 1.00
N(E_F) (states/eV/atom): 0.206
Raw total energy (eV/atom): -6.660
Formation energy (no corrections) (kJ/mol of atoms): -137

a b c (Å): 6.3764 6.3764 12.2603
angles (deg): 90.00 90.00 90.00
Atoms (fractional coordinates):
1 Sm 0.0000 0.0000 0.3345
2 Sm 0.5000 0.5000 0.8345
3 Sm 0.5000 0.5000 0.1655
4 Sm 0.0000 0.0000 0.6655
5 Np 0.0000 0.0000 0.0000
6 Np 0.5000 0.5000 0.5000
7 S 0.3111 0.3111 0.3461
8 S 0.6889 0.6889 0.3461
9 S 0.1889 0.8111 0.8461
10 S 0.8111 0.1889 0.8461
11 S 0.1889 0.8111 0.1539
12 S 0.8111 0.1889 0.1539
13 S 0.3111 0.3111 0.6539
14 S 0.6889 0.6889 0.6539
15 S 0.2869 0.2869 0.0000
16 S 0.7131 0.7131 0.0000
17 S 0.2131 0.7869 0.5000
18 S 0.7869 0.2131 0.5000



# 4
Crystalline SmNpS3 at its relaxed geometry, computed with PBE.

Computed properties:
Total moment (μB/f.u.): 3.92
N(E_F) (states/eV/atom): 2.007
Raw total energy (eV/atom): -7.740
Energy relative to the lowest polymorph listed for this composition (eV per atom): 0.000
Formation energy (no corrections) (kJ/mol of atoms): -167

a b c (Å): 3.9471 7.3575 15.3263
angles (deg): 90.00 90.00 90.00
Atoms (fractional coordinates):
1 Sm 0.7500 0.8726 0.7935
2 Sm 0.2500 0.1274 0.2065
3 Sm 0.7500 0.3726 0.7065
4 Sm 0.2500 0.6274 0.2935
5 Np 0.2500 0.2619 0.9611
6 Np 0.2500 0.7619 0.5389
7 Np 0.7500 0.2381 0.4611
8 Np 0.7500 0.7381 0.0389
9 S 0.2500 0.3734 0.5680
10 S 0.7500 0.8437 0.2173
11 S 0.7500 0.4877 0.8968
12 S 0.7500 0.9877 0.6032
13 S 0.7500 0.6266 0.4320
14 S 0.2500 0.0123 0.3968
15 S 0.2500 0.8734 0.9320
16 S 0.7500 0.3437 0.2827
17 S 0.2500 0.6563 0.7173
18 S 0.2500 0.1563 0.7827
19 S 0.7500 0.1266 0.0680
20 S 0.2500 0.5123 0.1032



# 5
Crystalline Sm6NpS12 at its relaxed geometry, computed with PBE.

Computed properties:
Total moment (μB/f.u.): 0.91
Raw total energy (eV/atom): -6.587
Formation energy (no corrections) (kJ/mol of atoms): -175

a b c (Å): 7.9662 7.9662 7.9662
angles (deg): 98.63 98.63 98.63
Atoms (fractional coordinates):
1 Sm 0.6785 0.8558 0.3660
2 Sm 0.6340 0.3215 0.1442
3 Sm 0.1442 0.6340 0.3215
4 Sm 0.3215 0.1442 0.6340
5 Sm 0.3660 0.6785 0.8558
6 Sm 0.8558 0.3660 0.6785
7 Np 0.0000 0.0000 0.0000
8 S 0.8235 0.5729 0.4172
9 S 0.4172 0.8235 0.5729
10 S 0.5729 0.4172 0.8235
11 S 0.1765 0.4271 0.5828
12 S 0.5828 0.1765 0.4271
13 S 0.4271 0.5828 0.1765
14 S 0.0670 0.9734 0.3170
15 S 0.0266 0.6830 0.9330
16 S 0.6830 0.9330 0.0266
17 S 0.9330 0.0266 0.6830
18 S 0.9734 0.3170 0.0670
19 S 0.3170 0.0670 0.9734



# 6
Crystalline Sr3Sm3NpS8 at its relaxed geometry, computed with PBE.

Computed properties:
Total moment (μB/f.u.): 4.29
N(E_F) (states/eV/atom): 0.917
Raw total energy (eV/atom): -6.290
Formation energy (no corrections) (kJ/mol of atoms): -188

a b c (Å): 8.1366 8.1365 8.3564
angles (deg): 119.13 90.00 120.00
Atoms (fractional coordinates):
1 Sr 0.0000 0.0000 0.0000
2 Sr 0.0000 0.5000 0.0000
3 Sr 0.5000 0.5000 0.0000
4 Sm 0.5000 0.0000 0.5000
5 Sm 0.5000 0.5000 0.5000
6 Sm 0.0000 0.5000 0.5000
7 Np 0.0000 0.0000 0.5000
8 S 0.2546 0.5093 0.2640
9 S 0.7454 0.4907 0.7360
10 S 0.7601 0.5202 0.2728
11 S 0.2399 0.4798 0.7272
12 S 0.7601 0.0127 0.2728
13 S 0.2399 0.9873 0.7272
14 S 0.2525 0.0127 0.2728
15 S 0.7475 0.9873 0.7272



# 7
Crystalline Sr2SmNpS6 at its relaxed geometry, computed with PBE.

Computed properties:
Total moment (μB/f.u.): 2.00
N(E_F) (states/eV/atom): 0.754
Raw total energy (eV/atom): -6.321
Formation energy (no corrections) (kJ/mol of atoms): -168

a b c (Å): 6.9826 7.4748 10.1821
angles (deg): 90.00 90.17 90.00
Atoms (fractional coordinates):
1 Sr 0.0273 0.9197 0.2502
2 Sr 0.5273 0.5803 0.7502
3 Sr 0.9727 0.0803 0.7498
4 Sr 0.4727 0.4197 0.2498
5 Sm 0.5000 0.0000 0.0000
6 Sm 0.0000 0.5000 0.5000
7 Np 0.5000 0.0000 0.5000
8 Np 0.0000 0.5000 0.0000
9 S 0.3004 0.6875 0.0602
10 S 0.8004 0.8125 0.5602
11 S 0.6996 0.3125 0.9398
12 S 0.1996 0.1875 0.4398
13 S 0.3188 0.7038 0.4362
14 S 0.8188 0.7962 0.9362
15 S 0.6812 0.2962 0.5638
16 S 0.1812 0.2038 0.0638
17 S 0.8826 0.5391 0.2412
18 S 0.3826 0.9609 0.7412
19 S 0.1174 0.4609 0.7588
20 S 0.6174 0.0391 0.2588



# 8
Crystalline TbSmNp2S4 at its relaxed geometry, computed with PBE.

Computed properties:
Total moment (μB/f.u.): 8.65
N(E_F) (states/eV/atom): 2.022
Raw total energy (eV/atom): -8.169
Formation energy (no corrections) (kJ/mol of atoms): -164

a b c (Å): 3.9408 6.8417 6.8000
angles (deg): 109.48 90.00 90.00
Atoms (fractional coordinates):
1 Tb 0.5000 0.5000 0.0000
2 Sm 0.0000 0.0000 0.0000
3 Np 0.5000 0.0000 0.5000
4 Np 0.0000 0.5000 0.5000
5 S 0.5000 0.2554 0.2569
6 S 0.5000 0.7446 0.7431
7 S 0.0000 0.2518 0.7458
8 S 0.0000 0.7482 0.2542



# 9
Crystalline SmNpTe2S at its relaxed geometry, computed with PBE.

Computed properties:
Total moment (μB/f.u.): 4.01
N(E_F) (states/eV/atom): 2.015
Raw total energy (eV/atom): -6.732
Formation energy (no corrections) (kJ/mol of atoms): -108

a b c (Å): 4.4716 4.4716 15.5602
angles (deg): 90.00 90.00 90.00
Atoms (fractional coordinates):
1 Sm 0.5000 0.0000 0.6010
2 Sm 0.0000 0.5000 0.3990
3 Np 0.5000 0.0000 0.1067
4 Np 0.0000 0.5000 0.8933
5 Te 0.0000 0.5000 0.7027
6 Te 0.0000 0.5000 0.0974
7 Te 0.5000 0.0000 0.9026
8 Te 0.5000 0.0000 0.2973
9 S 0.0000 0.0000 0.5000
10 S 0.5000 0.5000 0.5000



# 10
Crystalline SmNpTeS2 at its relaxed geometry, computed with PBE.

Computed properties:
Total moment (μB/f.u.): 4.00
N(E_F) (states/eV/atom): 2.417
Raw total energy (eV/atom): -7.069
Formation energy (no corrections) (kJ/mol of atoms): -121

a b c (Å): 4.4581 4.4581 7.5035
angles (deg): 107.28 107.28 90.00
Atoms (fractional coordinates):
1 Sm 0.8638 0.8638 0.7275
2 Np 0.1379 0.1379 0.2758
3 Te 0.5021 0.5021 0.0043
4 S 0.7481 0.2481 0.4962
5 S 0.2481 0.7481 0.4962



# 11
Crystalline SmNpTl2S4 at its relaxed geometry, computed with PBE.

Computed properties:
Total moment (μB/f.u.): 4.00
N(E_F) (states/eV/atom): 1.059
Raw total energy (eV/atom): -6.097
Formation energy (no corrections) (kJ/mol of atoms): -119

a b c (Å): 4.1019 7.1031 7.8715
angles (deg): 107.56 90.00 90.00
Atoms (fractional coordinates):
1 Sm 0.0000 0.0000 0.0000
2 Np 0.5000 0.5000 0.0000
3 Tl 0.5000 0.0000 0.5000
4 Tl 0.0000 0.5000 0.5000
5 S 0.5000 0.2367 0.2009
6 S 0.5000 0.7633 0.7991
7 S 0.0000 0.2732 0.8036
8 S 0.0000 0.7268 0.1964



# 12
Crystalline SmNp3Tl4S8 at its relaxed geometry, computed with PBE.

Computed properties:
Total moment (μB/f.u.): 12.00
N(E_F) (states/eV/atom): 1.666
Raw total energy (eV/atom): -6.508
Formation energy (no corrections) (kJ/mol of atoms): -109

a b c (Å): 8.1644 8.8599 8.1642
angles (deg): 117.44 120.00 90.00
Atoms (fractional coordinates):
1 Sm 0.0000 0.5000 0.0000
2 Np 0.5000 0.5000 0.0000
3 Np 0.5000 0.5000 0.5000
4 Np 0.0000 0.5000 0.5000
5 Tl 0.5000 0.0000 0.0000
6 Tl 0.5000 0.0000 0.5000
7 Tl 0.0000 0.0000 0.0000
8 Tl 0.0000 0.0000 0.5000
9 S 0.2350 0.6973 0.9624
10 S 0.2350 0.6973 0.4700
11 S 0.2697 0.3092 0.5394
12 S 0.7274 0.6973 0.9624
13 S 0.2726 0.3027 0.0376
14 S 0.7303 0.6908 0.4606
15 S 0.7650 0.3027 0.5300
16 S 0.7650 0.3027 0.0376